# 1
HgBi2Br6 | PBE-GGA | relaxed

The calculation puts the energy relative to the elements, uncorrected at -0.65 eV/atom.

The space group is C2/c (No. 15) and the conventional cell measures 20.901, 12.760 and 7.368 Å, with angles of 90.00, 101.05 and 90.00 degrees. The asymmetric unit holds Hg at (0.000, 0.036, 0.250), Bi at (0.247, 0.416, 0.006), Br at (0.164, 0.432, 0.642), Br at (0.168, 0.245, 0.094) and Br at (0.173, 0.074, 0.627).

---

# 2
BeAgRh2 | PBE-GGA | relaxed

Its density of states at the Fermi level is 17.35 states/eV/cell. For the formation energy, the calculation gives 0.210 eV per atom.

The space group is F-43m (No. 216) and the conventional cell measures 6.086, 6.086 and 6.086 Å, with angles of 90.00, 90.00 and 90.00 degrees. The asymmetric unit holds Be at (0.000, 0.000, 0.000), Ag at (0.250, 0.250, 0.250), Rh at (0.000, 0.000, 0.500) and Rh at (0.250, 0.250, 0.750).

---

# 3
Sm4Dy3Ho5 | PBE-GGA | relaxed

As for the energy above the most stable polymorph in this dataset: 0 meV/atom. Its density of states at the Fermi level is 15.11 states/eV/cell. For the formation energy, the calculation gives 0.017 eV per atom.

The space group is P-1 (No. 2) and the conventional cell measures 6.170, 7.124 and 8.716 Å, with angles of 90.09, 90.03 and 90.12 degrees. The asymmetric unit holds Sm at (0.167, 0.249, 0.168), Sm at (0.332, 0.500, 0.832), Dy at (0.000, 0.000, 0.500), Dy at (0.168, 0.751, 0.168), Ho at (0.000, 0.500, 0.500), Ho at (0.334, 0.000, 0.832) and Ho at (0.499, 0.751, 0.500).

---

# 4
Dy6ZnRu2 | PBE-GGA | relaxed

Its density of states at the Fermi level is 33.34 states/eV/cell. For the formation energy, the calculation gives -0.316 eV per atom.

The space group is Immm (No. 71) and the conventional cell measures 9.325, 9.356 and 10.373 Å, with angles of 90.00, 90.00 and 90.00 degrees. The asymmetric unit holds Dy at (0.000, 0.196, 0.243), Dy at (0.186, 0.500, 0.171), Dy at (0.220, 0.320, 0.500), Zn at (0.000, 0.000, 0.000), Zn at (0.000, 0.000, 0.500), Ru at (0.000, 0.317, 0.000) and Ru at (0.000, 0.500, 0.373).

---

# 5
PmHoEr | PBE-GGA | relaxed

As for the energy above the most stable polymorph in this dataset: 50 meV/atom. Its density of states at the Fermi level is 5.34 states/eV/cell. For the formation energy, the calculation gives 0.071 eV per atom.

The space group is P-6m2 (No. 187) and the conventional cell measures 5.6158, 5.6158 and 3.4903 Å, with angles of 90.00, 90.00 and 120.00 degrees. The asymmetric unit holds Pm at (0.0000, 0.0000, 0.0000), Ho at (0.3333, 0.6667, 0.5000) and Er at (0.6667, 0.3333, 0.0000).

---

# 6
TbEr2Mn | PBE-GGA | relaxed

As for the energy above the most stable polymorph in this dataset: 109 meV/atom. Its density of states at the Fermi level is 5.64 states/eV/cell. For the formation energy, the calculation gives 0.222 eV per atom.

The space group is P4/mmm (No. 123) and the conventional cell measures 4.706, 4.706 and 4.778 Å, with angles of 90.00, 90.00 and 90.00 degrees. The asymmetric unit holds Tb at (0.000, 0.000, 0.000), Er at (0.000, 0.500, 0.500) and Mn at (0.500, 0.500, 0.000).

---

# 7
Zn3Mo2 | PBE-GGA | relaxed

As for the energy above the most stable polymorph in this dataset: 0 meV/atom. Its density of states at the Fermi level is 19.20 states/eV/cell. For the formation energy, the calculation gives 0.202 eV per atom.

The space group is Fdd2 (No. 43) and the conventional cell measures 8.948, 12.855 and 5.099 Å, with angles of 90.00, 90.00 and 90.00 degrees. The asymmetric unit holds Zn at (0.000, 0.000, 0.000), Zn at (0.064, 0.388, 0.110) and Mo at (0.059, 0.303, 0.626).

---

# 8
PuPaCoN4 | PBE-GGA | relaxed

The calculation puts the energy relative to the elements, uncorrected at -0.89 eV/atom. Its density of states at the Fermi level is 11.10 states/eV/cell.

The space group is I4mm (No. 107) and the conventional cell measures 3.663, 3.663 and 12.177 Å, with angles of 90.00, 90.00 and 90.00 degrees. The asymmetric unit holds Pu at (0.000, 0.000, 0.000), Pa at (0.000, 0.000, 0.274), Co at (0.000, 0.000, 0.610), N at (0.000, 0.000, 0.455), N at (0.000, 0.000, 0.818) and N at (0.000, 0.500, 0.137).

---

no.,M_tot (μB per formula unit)
1,0.00
2,1.22
3,0.00
4,0.00
5,0.00
6,3.15
7,0.00
8,3.92